Entry 1:
8
Lattice="-0.384 -4.056 -0.806 6.981 -0.311 -1.762 -0.722 -1.356 7.167" Properties=species:S:1:pos:R:3 comment="Ca2PrDySe4 PBE-GGA relaxed" e_tot_ev_per_atom=-5.30 pbc="T T T"
Ca -0.553 -2.706 3.180
Ca 3.129 -0.834 2.703
Pr 3.298 -2.184 -1.284
Dy 0.000 0.000 0.000
Se 1.317 -2.441 0.955
Se 4.558 -3.283 3.644
Se 1.138 -1.085 4.916
Se 5.121 -0.582 0.490

Entry 2:
5
Lattice="5.028 0.000 0.000 0.000 5.028 0.000 0.000 0.000 4.004" Properties=species:S:1:pos:R:3 comment="Y2MnSbC PBE-GGA relaxed" e_tot_ev_per_atom=-7.57 pbc="T T T"
Y 0.000 2.514 0.000
Y 2.514 0.000 0.000
Sb 2.514 2.514 2.002
C 0.000 0.000 0.000
Mn 0.000 0.000 2.002

Entry 3:
8
Lattice="-4.185 0.019 3.119 -4.613 -1.639 -1.812 -1.097 -8.484 2.947" Properties=species:S:1:pos:R:3 comment="Tm4Cd2InHg PBE-GGA relaxed" e_tot_ev_per_atom=-3.23 ef_ev_per_atom=-0.387 pbc="T T T"
Tm -4.268 -7.992 3.057
Tm -8.101 -4.634 2.260
Tm -1.793 -5.470 1.994
Tm -5.627 -2.112 1.198
Cd -7.412 -7.615 3.203
Cd -2.482 -2.488 1.052
In 0.000 0.000 0.000
Hg -4.947 -5.052 2.127

Entry 4:
3
Lattice="3.512 0.000 0.000 0.000 3.512 0.000 -1.756 -1.756 6.462" Properties=species:S:1:pos:R:3 comment="LaErRh PBE-GGA relaxed" e_tot_ev_per_atom=-6.13 relative_energy_mev_per_atom=104.5 ef_ev_per_atom=-0.516 pbc="T T T"
Er 0.000 0.000 3.761
Rh 1.756 1.756 2.285
La 0.000 0.000 0.416

Entry 5:
4
Lattice="4.410 0.000 0.000 2.205 3.819 0.000 2.205 1.273 13.955" Properties=species:S:1:pos:R:3 comment="Rb2SrHg PBE-GGA relaxed" e_tot_ev_per_atom=-0.93 ef_ev_per_atom=0.054 pbc="T T T"
Sr 0.000 0.000 0.000
Hg 4.410 2.546 6.978
Rb 2.205 1.273 9.656
Rb 6.615 3.819 4.299

Entry 6:
12
Lattice="-0.057 0.455 -7.024 5.136 -3.293 -0.255 -6.223 -6.188 3.177" Properties=species:S:1:pos:R:3 comment="Tb3Tm2Sc PBE-GGA relaxed" e_tot_ev_per_atom=-4.84 relative_energy_mev_per_atom=0.0 ef_ev_per_atom=0.021 pbc="T T T"
Tb 1.234 -0.427 -6.183
Tb 3.844 -2.411 -1.097
Tb -1.950 -2.120 0.769
Tb -1.748 -5.373 -2.971
Tb 0.603 -3.652 -1.132
Tb 0.806 -6.905 -4.871
Tm 0.624 -3.423 -4.622
Tm -1.930 -1.889 -2.766
Tm 0.785 -7.137 -1.336
Tm -1.768 -5.602 0.519
Sc 3.816 -2.187 -4.558
Sc 1.262 -0.651 -2.722

Entry 7:
12
Lattice="5.714 0.000 0.000 0.000 5.670 0.000 0.000 -2.835 6.525" Properties=species:S:1:pos:R:3 comment="TbGaCuPt3 PBE-GGA relaxed" e_tot_ev_per_atom=-5.59 ef_ev_per_atom=-0.610 pbc="T T T"
Tb 4.285 0.000 4.275
Tb 1.428 2.835 2.250
Ga 1.428 0.000 4.908
Ga 4.285 2.835 1.618
Cu 1.428 2.835 4.910
Cu 4.285 0.000 1.615
Pt 1.428 0.000 2.407
Pt 0.000 1.391 0.000
Pt 2.857 4.279 0.000
Pt 2.857 1.391 0.000
Pt 0.000 4.279 0.000
Pt 4.285 2.835 4.118

Entry 8:
20
Lattice="10.003 0.000 1.689 0.000 7.370 0.000 2.313 0.000 8.208" Properties=species:S:1:pos:R:3 comment="Pm3NpSn6 PBE-GGA relaxed" e_tot_ev_per_atom=-5.57 ef_ev_per_atom=-0.454 pbc="T T T"
Pm 6.741 7.137 6.996
Pm 5.002 3.685 0.844
Pm 5.576 0.233 2.902
Pm 0.582 3.918 2.047
Pm 1.157 0.000 4.104
Pm 11.734 3.452 7.850
Np 6.158 3.685 4.949
Np 0.000 0.000 0.000
Sn 9.444 1.048 8.317
Sn 8.640 1.840 5.372
Sn 7.894 2.592 2.460
Sn 4.422 4.778 7.437
Sn 3.676 5.530 4.525
Sn 2.873 6.322 1.580
Sn 3.286 2.637 3.369
Sn 2.482 1.845 0.423
Sn 4.049 1.093 5.720
Sn 8.267 6.277 4.177
Sn 9.834 5.525 9.474
Sn 9.031 4.733 6.528

Copy entry 1 word for word.
8
Lattice="-0.384 -4.056 -0.806 6.981 -0.311 -1.762 -0.722 -1.356 7.167" Properties=species:S:1:pos:R:3 comment="Ca2PrDySe4 PBE-GGA relaxed" e_tot_ev_per_atom=-5.30 pbc="T T T"
Ca -0.553 -2.706 3.180
Ca 3.129 -0.834 2.703
Pr 3.298 -2.184 -1.284
Dy 0.000 0.000 0.000
Se 1.317 -2.441 0.955
Se 4.558 -3.283 3.644
Se 1.138 -1.085 4.916
Se 5.121 -0.582 0.490